! PBE Y2TlW, relaxed; values from VASP
&SYSTEM
  ibrav = 0, nat = 4, ntyp = 3
/
ATOMIC_SPECIES
Y 88.91 Y.upf
Tl 204.38 Tl.upf
W 183.84 W.upf
CELL_PARAMETERS angstrom
5.724 -0.006 0.000
2.241 5.267 0.000
-3.983 -2.631 3.160
ATOMIC_POSITIONS angstrom
Y 1.120 2.634 1.580
Tl 3.983 2.631 0.000
Y 0.000 0.000 0.000
W 2.862 -0.003 1.580
! **Polymorph energy (0 for the lowest one)**: 162 meV per atom
! **E_form**: 1.5 eV per formula unit

---

! PBE Pm4Ga12Co, relaxed; values from VASP
&SYSTEM
  ibrav = 0, nat = 17, ntyp = 3
/
ATOMIC_SPECIES
Ga 69.72 Ga.upf
Pm 145.00 Pm.upf
Co 58.93 Co.upf
CELL_PARAMETERS angstrom
7.541 0.000 0.000
-2.514 7.110 0.000
-2.514 -3.555 6.157
ATOMIC_POSITIONS angstrom
Ga 1.418 2.005 0.000
Ga -1.418 1.002 1.736
Ga -1.257 0.889 4.618
Ga 3.770 0.000 3.079
Pm 3.770 0.000 0.000
Ga 3.770 2.666 1.539
Ga 1.257 -0.889 4.618
Ga 3.610 5.105 0.000
Pm -1.257 3.555 0.000
Ga -1.257 3.555 3.079
Pm 1.257 1.777 3.079
Pm -1.257 -1.777 3.079
Ga 1.418 -1.002 1.736
Ga 1.257 4.444 1.539
Ga -3.610 2.552 4.421
Co 0.000 0.000 0.000
Ga 3.610 -2.552 4.421
! **E_form**: -9.6 eV per formula unit

---

! PBE Pr3Te2Se, relaxed; values from VASP
&SYSTEM
  ibrav = 0, nat = 6, ntyp = 3
/
ATOMIC_SPECIES
Te 127.60 Te.upf
Pr 140.91 Pr.upf
Se 78.96 Se.upf
CELL_PARAMETERS angstrom
4.408 0.000 0.000
0.000 6.267 0.000
-2.204 -3.133 6.767
ATOMIC_POSITIONS angstrom
Te 2.204 0.000 2.357
Pr 0.000 0.000 4.779
Pr 2.204 3.133 1.987
Te 0.000 3.133 4.409
Pr 0.000 0.000 0.000
Se 0.000 3.133 0.000
! **Raw formation energy**: -9.39 eV/f.u.
! **Polymorph energy (0 for the lowest one)**: 0 meV per atom

---

! PBE Hf2Al6Rh, relaxed; values from VASP
&SYSTEM
  ibrav = 0, nat = 9, ntyp = 3
/
ATOMIC_SPECIES
Al 26.98 Al.upf
Rh 102.91 Rh.upf
Hf 178.49 Hf.upf
CELL_PARAMETERS angstrom
5.711 -0.028 -0.016
0.025 5.563 0.006
0.025 2.777 4.821
ATOMIC_POSITIONS angstrom
Al 1.833 5.554 1.678
Rh 0.000 0.000 0.000
Al 1.833 4.221 3.979
Hf 0.711 2.777 1.607
Al 1.843 6.881 3.982
Al 3.918 1.431 0.828
Hf 5.051 5.535 3.203
Al 3.928 2.759 3.133
Al 3.928 4.091 0.831
! **E_form**: -4.2 eV per formula unit

---

! PBE NpPaIr, relaxed; values from VASP
&SYSTEM
  ibrav = 0, nat = 3, ntyp = 3
/
ATOMIC_SPECIES
Pa 231.04 Pa.upf
Ir 192.22 Ir.upf
Np 237.00 Np.upf
CELL_PARAMETERS angstrom
3.021 0.000 0.000
0.000 4.793 0.000
0.000 -2.396 4.151
ATOMIC_POSITIONS angstrom
Pa 2.084 2.396 1.384
Ir 1.031 0.000 2.767
Np 2.928 0.000 0.000
! **Polymorph energy (0 for the lowest one)**: 67 meV per atom
! **E_form**: -0.7 eV per formula unit

---

! PBE BaLi2InCl8, relaxed; values from VASP
&SYSTEM
  ibrav = 0, nat = 12, ntyp = 4
/
ATOMIC_SPECIES
Cl 35.45 Cl.upf
In 114.82 In.upf
Li 6.94 Li.upf
Ba 137.33 Ba.upf
CELL_PARAMETERS angstrom
6.523 0.000 0.000
-3.262 5.649 0.000
0.000 0.000 8.514
ATOMIC_POSITIONS angstrom
Cl 3.262 1.883 0.087
Cl -2.169 3.972 2.693
Cl 0.907 1.785 2.693
Cl 5.431 1.677 5.821
In 0.000 0.000 4.257
Cl 1.263 5.542 2.693
Cl 2.355 3.865 5.821
Li 0.000 3.766 6.036
Li 3.262 1.883 2.478
Cl 1.999 0.107 5.821
Ba 0.000 0.000 0.000
Cl 0.000 3.766 8.427
! **Raw formation energy**: -17.65 eV/f.u.

---

! PBE NaMg2MoIr, relaxed; values from VASP
&SYSTEM
  ibrav = 0, nat = 5, ntyp = 4
/
ATOMIC_SPECIES
Ir 192.22 Ir.upf
Na 22.99 Na.upf
Mg 24.30 Mg.upf
Mo 95.94 Mo.upf
CELL_PARAMETERS angstrom
4.884 0.000 0.000
0.000 5.092 0.000
0.000 0.000 4.884
ATOMIC_POSITIONS angstrom
Ir 0.000 0.000 0.000
Na 0.000 2.546 0.000
Mg 2.442 0.000 0.000
Mo 2.442 2.546 2.442
Mg 0.000 0.000 2.442
! **E_form**: 6.7 eV per formula unit

---

! PBE BePt3, relaxed; values from VASP
&SYSTEM
  ibrav = 0, nat = 4, ntyp = 2
/
ATOMIC_SPECIES
Pt 195.08 Pt.upf
Be 9.01 Be.upf
CELL_PARAMETERS angstrom
5.435 0.223 -0.049
2.934 4.580 0.049
-3.677 -3.287 2.296
ATOMIC_POSITIONS angstrom
Pt 3.303 0.199 0.936
Pt 0.361 -0.630 2.109
Be 1.612 -2.808 2.060
Pt 1.096 1.829 0.985
! **E_form**: -1.4 eV per formula unit

---

! PBE CuPAu2S4, relaxed; values from VASP
&SYSTEM
  ibrav = 0, nat = 8, ntyp = 4
/
ATOMIC_SPECIES
S 32.06 S.upf
Au 196.97 Au.upf
Cu 63.55 Cu.upf
P 30.97 P.upf
CELL_PARAMETERS angstrom
5.991 -0.058 0.091
-0.069 6.033 0.010
-2.864 -2.962 4.665
ATOMIC_POSITIONS angstrom
S 3.958 -1.645 3.235
Au -0.144 -2.076 4.407
Cu 2.819 -0.097 4.703
P 2.856 2.847 2.299
S 1.586 3.873 0.941
S 1.666 1.676 3.607
Au 1.344 -0.233 2.240
S 4.286 1.634 1.366
! **Raw formation energy**: -0.90 eV/f.u.

---

! PBE Ac2GaPt, relaxed; values from VASP
&SYSTEM
  ibrav = 0, nat = 4, ntyp = 3
/
ATOMIC_SPECIES
Ac 227.00 Ac.upf
Pt 195.08 Pt.upf
Ga 69.72 Ga.upf
CELL_PARAMETERS angstrom
3.815 0.000 0.000
1.908 3.304 0.000
1.908 1.101 10.459
ATOMIC_POSITIONS angstrom
Ac 5.723 3.304 2.793
Pt 0.000 0.000 0.000
Ac 1.908 1.101 7.666
Ga 3.815 2.203 5.229
! **E_form**: 0.2 eV per formula unit

---

! PBE ZnCo2Re, relaxed; values from VASP
&SYSTEM
  ibrav = 0, nat = 4, ntyp = 3
/
ATOMIC_SPECIES
Re 186.21 Re.upf
Co 58.93 Co.upf
Zn 65.41 Zn.upf
CELL_PARAMETERS angstrom
4.406 0.011 -0.017
-1.128 4.259 -0.017
0.010 0.012 2.627
ATOMIC_POSITIONS angstrom
Re 2.208 0.012 1.305
Co 0.000 0.000 0.000
Co 1.639 2.135 -0.017
Zn -0.559 2.136 1.305
! **E_form**: 0.4 eV per formula unit

---

! PBE Os5Se3, relaxed; values from VASP
&SYSTEM
  ibrav = 0, nat = 16, ntyp = 2
/
ATOMIC_SPECIES
Os 190.23 Os.upf
Se 78.96 Se.upf
CELL_PARAMETERS angstrom
8.768 -0.365 0.268
-6.921 5.452 -0.123
-0.600 -2.475 6.192
ATOMIC_POSITIONS angstrom
Os 2.688 -0.515 4.497
Se 0.044 2.396 3.696
Os 4.581 0.333 3.038
Os 6.282 1.037 1.132
Se -6.785 2.907 6.020
Os -0.895 3.797 1.849
Os 2.836 2.249 2.602
Os 2.373 -0.444 1.739
Os 5.423 -1.402 4.676
Se 0.531 -0.573 3.361
Os -4.730 2.170 4.882
Se 1.214 2.931 0.739
Os -3.246 3.024 2.859
Se -2.604 1.072 5.758
Os -1.675 0.679 3.294
Se 3.882 1.240 0.554
! **Raw formation energy**: 3.92 eV/f.u.
! **Polymorph energy (0 for the lowest one)**: 0 meV per atom

---

! PBE TbErAlCd, relaxed; values from VASP
&SYSTEM
  ibrav = 0, nat = 4, ntyp = 4
/
ATOMIC_SPECIES
Er 167.26 Er.upf
Cd 112.41 Cd.upf
Tb 158.93 Tb.upf
Al 26.98 Al.upf
CELL_PARAMETERS angstrom
-3.512 0.824 0.375
-0.520 -3.065 1.868
1.531 3.626 6.375
ATOMIC_POSITIONS angstrom
Er -1.103 1.041 4.922
Cd 1.302 3.084 5.423
Tb -1.834 -0.688 1.881
Al 0.554 1.312 2.308
! **Polymorph energy (0 for the lowest one)**: 0 meV per atom
! **E_form**: -1.5 eV per formula unit

---

| no. | E (eV for the cell shown) | V (Å³ per cell) |
| --- | --- | --- |
| 1 | -26.783 | 95 |
| 2 | -72.013 | 330 |
| 3 | -33.498 | 187 |
| 4 | -53.892 | 153 |
| 5 | -31.957 | 60 |
| 6 | -40.914 | 314 |
| 7 | -17.493 | 121 |
| 8 | -23.295 | 56 |
| 9 | -33.474 | 170 |
| 10 | -17.109 | 132 |
| 11 | -27.506 | 49 |
| 12 | -125.364 | 283 |
| 13 | -15.312 | 99 |